Version one
Material: ZrRe2I
Method: DFT, PBE-GGA
State: optimized geometry

Geometry as POSCAR:
```
ZrRe2I
1.0
-1.776 0.794 4.276
-4.654 0.162 0.617
-2.184 -3.455 2.315
Zr Re I
1 2 1
Direct
0.000 0.000 0.000
0.750 0.750 0.750
0.250 0.250 0.250
0.500 0.500 0.500
```

Calculated density (Mg/m³): 13.378
Magnetization (μB per formula unit): 0.0
Volume (A^3/atom): 18.3
Space group: No. 225



Version two
Material: ZrRe2I
Method: DFT, PBE-GGA
State: optimized geometry

Geometry as POSCAR:
```
ZrRe2I
1.0
-2.638 2.880 -0.421
-0.484 -0.994 -3.769
-9.303 -5.744 0.664
Re I Zr
4 2 2
Direct
0.875 0.932 0.750
0.375 0.318 0.750
0.682 0.125 0.250
0.068 0.625 0.250
0.000 0.000 0.000
0.750 0.250 0.500
0.250 0.750 0.500
0.500 0.500 0.000
```

Calculated density (Mg/m³): 11.997
Magnetization (μB per formula unit): 0.0
Volume (A^3/atom): 20.4
Space group: No. 122



Q: Which of them is the most stable? A: version one.



Version one
Material: ZrReI2
Method: DFT, PBE-GGA
State: optimized geometry

Geometry as POSCAR:
```
ZrReI2
1.0
-4.481 0.897 -4.507
1.185 -5.856 -2.344
-5.684 -4.724 0.140
I Zr Re
4 2 2
Direct
0.092 0.625 0.250
0.375 0.342 0.750
0.658 0.125 0.250
0.875 0.908 0.750
0.500 0.500 0.000
0.250 0.750 0.500
0.000 0.000 0.000
0.750 0.250 0.500
```

Calculated density (Mg/m³): 7.341
Magnetization (μB per formula unit): 0.0
Volume (A^3/atom): 30.0
Space group: No. 122



Version two
Material: ZrReI2
Method: DFT, PBE-GGA
State: optimized geometry

Geometry as POSCAR:
```
ZrReI2
1.0
0.000 3.476 3.476
3.476 0.000 3.476
3.476 3.476 0.000
I Zr Re
2 1 1
Direct
0.750 0.750 0.750
0.250 0.250 0.250
0.000 0.000 0.000
0.500 0.500 0.500
```

Calculated density (Mg/m³): 10.501
Magnetization (μB per formula unit): 0.0
Volume (A^3/atom): 21.0
Space group: No. 225



Q: Which of them is the most stable? A: version two.



Version one
Material: Zr3ReI
Method: DFT, PBE-GGA
State: optimized geometry

Geometry as POSCAR:
```
Zr3ReI
1.0
-4.548 1.970 1.326
-2.069 -4.694 -0.123
1.165 -0.644 4.955
Re I Zr
1 1 3
Direct
0.500 0.500 0.500
0.000 0.000 0.000
0.500 0.000 0.000
0.000 0.500 0.000
0.000 0.000 0.500
```

Calculated density (Mg/m³): 7.213
Magnetization (μB per formula unit): 1.5
Volume (A^3/atom): 27.0
Space group: No. 221



Version two
Material: Zr3ReI
Method: DFT, PBE-GGA
State: optimized geometry

Geometry as POSCAR:
```
Zr3ReI
1.0
5.152 0.000 0.000
0.000 5.152 0.000
0.000 0.000 5.152
I Zr Re
1 3 1
Direct
0.500 0.500 0.500
0.000 0.000 0.500
0.000 0.500 0.000
0.500 0.000 0.000
0.000 0.000 0.000
```

Calculated density (Mg/m³): 7.127
Magnetization (μB per formula unit): 0.0
Volume (A^3/atom): 27.3
Space group: No. 221



Q: Which of them is the most stable? A: version two.



Version one
Material: RuRhI2
Method: DFT, PBE-GGA
State: optimized geometry

Geometry as POSCAR:
```
RuRhI2
1.0
-2.627 -2.713 -2.996
-4.495 1.321 -1.133
-0.999 1.588 -4.440
I Rh Ru
2 1 1
Direct
0.250 0.250 0.250
0.750 0.750 0.750
0.500 0.500 0.500
0.000 0.000 0.000
```

Calculated density (Mg/m³): 9.597
Magnetization (μB per formula unit): 0.6
Volume (A^3/atom): 19.8
Space group: No. 225



Version two
Material: RuRhI2
Method: DFT, PBE-GGA
State: optimized geometry

Geometry as POSCAR:
```
RuRhI2
1.0
5.936 0.000 0.000
0.000 5.936 0.000
2.968 2.968 6.081
I Rh Ru
4 2 2
Direct
0.129 0.625 0.250
0.621 0.125 0.250
0.875 0.871 0.750
0.375 0.379 0.750
0.000 0.000 0.000
0.750 0.250 0.500
0.250 0.750 0.500
0.500 0.500 0.000
```

Calculated density (Mg/m³): 7.097
Magnetization (μB per formula unit): 0.0
Volume (A^3/atom): 26.8
Space group: No. 122



Q: Which of them is the most stable? A: version two.



Version one
Material: Ru2RhI
Method: DFT, PBE-GGA
State: optimized geometry

Geometry as POSCAR:
```
Ru2RhI
1.0
5.839 0.000 0.000
0.000 5.839 0.000
2.920 2.920 5.507
Ru Rh I
4 2 2
Direct
0.375 0.400 0.750
0.875 0.850 0.750
0.150 0.625 0.250
0.600 0.125 0.250
0.500 0.500 0.000
0.250 0.750 0.500
0.000 0.000 0.000
0.750 0.250 0.500
```

Calculated density (Mg/m³): 7.639
Magnetization (μB per formula unit): 0.0
Volume (A^3/atom): 23.5
Space group: No. 122



Version two
Material: Ru2RhI
Method: DFT, PBE-GGA
State: optimized geometry

Geometry as POSCAR:
```
Ru2RhI
1.0
-0.541 -1.146 4.331
-1.629 3.008 2.944
-4.150 -0.520 1.695
Ru Rh I
2 1 1
Direct
0.250 0.250 0.250
0.750 0.750 0.750
0.000 0.000 0.000
0.500 0.500 0.500
```

Calculated density (Mg/m³): 11.036
Magnetization (μB per formula unit): 2.3
Volume (A^3/atom): 16.2
Space group: No. 225



Q: Which of them is the most stable? A: version two.



Version one
Material: RhSI2
Method: DFT, PBE-GGA
State: optimized geometry

Geometry as POSCAR:
```
RhSI2
1.0
0.000 3.522 3.522
3.522 0.000 3.522
3.522 3.522 0.000
Rh S I
1 1 2
Direct
0.500 0.500 0.500
0.000 0.000 0.000
0.750 0.750 0.750
0.250 0.250 0.250
```

Calculated density (Mg/m³): 7.391
Magnetization (μB per formula unit): 0.7
Volume (A^3/atom): 21.8
Space group: No. 225



Version two
Material: RhSI2
Method: DFT, PBE-GGA
State: optimized geometry

Geometry as POSCAR:
```
RhSI2
1.0
-4.873 4.480 2.998
-4.669 -5.528 0.671
-3.221 -1.374 5.626
I Rh S
4 2 2
Direct
0.375 0.336 0.750
0.086 0.625 0.250
0.875 0.914 0.750
0.664 0.125 0.250
0.000 0.000 0.000
0.750 0.250 0.500
0.500 0.500 0.000
0.250 0.750 0.500
```

Calculated density (Mg/m³): 5.844
Magnetization (μB per formula unit): 0.0
Volume (A^3/atom): 27.6
Space group: No. 122



Q: Which of them is the most stable? A: version two.



Version one
Material: Rh2SI2
Method: DFT, PBE-GGA
State: optimized geometry

Geometry as POSCAR:
```
Rh2SI2
1.0
-5.018 -4.975 1.087
3.073 -4.176 -4.922
2.267 -1.668 2.831
I Rh S
4 4 2
Direct
0.666 0.834 0.500
0.834 0.334 0.500
0.166 0.666 0.500
0.334 0.166 0.500
0.646 0.146 0.000
0.146 0.354 0.000
0.854 0.646 0.000
0.354 0.854 0.000
0.000 0.000 0.000
0.500 0.500 0.000
```

Calculated density (Mg/m³): 8.003
Magnetization (μB per formula unit): 0.0
Volume (A^3/atom): 20.4
Space group: No. 127



Version two
Material: Rh2SI2
Method: DFT, PBE-GGA
State: optimized geometry

Geometry as POSCAR:
```
Rh2SI2
1.0
-2.674 -1.769 -4.531
4.750 -2.060 -1.999
0.344 -5.130 -1.600
S I Rh
1 2 2
Direct
0.000 0.000 0.000
0.250 0.750 0.500
0.750 0.250 0.500
0.690 0.690 0.620
0.310 0.310 0.380
```

Calculated density (Mg/m³): 7.188
Magnetization (μB per formula unit): 1.4
Volume (A^3/atom): 22.7
Space group: No. 139



Q: Which of them is the most stable? A: version two.



Version one
Material: Rh2SI
Method: DFT, PBE-GGA
State: optimized geometry

Geometry as POSCAR:
```
Rh2SI
1.0
-3.098 1.138 -3.789
2.450 -3.227 -2.972
-4.507 -5.998 -1.449
S I Rh
2 2 4
Direct
0.250 0.750 0.500
0.500 0.500 0.000
0.000 0.000 0.000
0.750 0.250 0.500
0.875 0.781 0.750
0.219 0.625 0.250
0.375 0.469 0.750
0.531 0.125 0.250
```

Calculated density (Mg/m³): 7.093
Magnetization (μB per formula unit): 0.0
Volume (A^3/atom): 21.3
Space group: No. 122



Version two
Material: Rh2SI
Method: DFT, PBE-GGA
State: optimized geometry

Geometry as POSCAR:
```
Rh2SI
1.0
-1.153 3.459 2.757
0.594 4.318 -1.379
-3.626 2.602 -0.991
I Rh S
1 2 1
Direct
0.500 0.500 0.500
0.250 0.250 0.250
0.750 0.750 0.750
0.000 0.000 0.000
```

Calculated density (Mg/m³): 8.967
Magnetization (μB per formula unit): 0.0
Volume (A^3/atom): 16.9
Space group: No. 225



Q: Which of them is the most stable? A: version one.



Version one
Material: Sb2Rh2I
Method: DFT, PBE-GGA
State: optimized geometry

Geometry as POSCAR:
```
Sb2Rh2I
1.0
4.013 0.000 0.000
0.000 4.013 0.000
2.007 2.007 8.092
Rh I Sb
2 1 2
Direct
0.250 0.750 0.500
0.750 0.250 0.500
0.000 0.000 0.000
0.354 0.354 0.291
0.646 0.646 0.709
```

Calculated density (Mg/m³): 7.341
Magnetization (μB per formula unit): 0.0
Volume (A^3/atom): 26.1
Space group: No. 139



Version two
Material: Sb2Rh2I
Method: DFT, PBE-GGA
State: optimized geometry

Geometry as POSCAR:
```
Sb2Rh2I
1.0
8.419 0.000 0.000
0.000 8.419 0.000
0.000 0.000 3.227
Rh Sb I
4 4 2
Direct
0.621 0.879 0.500
0.879 0.379 0.500
0.121 0.621 0.500
0.379 0.121 0.500
0.141 0.359 0.000
0.359 0.859 0.000
0.859 0.641 0.000
0.641 0.141 0.000
0.500 0.500 0.000
0.000 0.000 0.000
```

Calculated density (Mg/m³): 8.368
Magnetization (μB per formula unit): 0.0
Volume (A^3/atom): 22.9
Space group: No. 127



Q: Which of them is the most stable? A: version one.



Version one
Material: Sb2RhI
Method: DFT, PBE-GGA
State: optimized geometry

Geometry as POSCAR:
```
Sb2RhI
1.0
-1.697 2.007 -6.294
6.047 -2.144 -2.315
-0.189 -5.540 -5.412
I Sb Rh
2 4 2
Direct
0.750 0.250 0.500
0.000 0.000 0.000
0.875 0.772 0.750
0.522 0.125 0.250
0.375 0.478 0.750
0.228 0.625 0.250
0.500 0.500 0.000
0.250 0.750 0.500
```

Calculated density (Mg/m³): 5.574
Magnetization (μB per formula unit): 0.0
Volume (A^3/atom): 35.3
Space group: No. 122



Version two
Material: Sb2RhI
Method: DFT, PBE-GGA
State: optimized geometry

Geometry as POSCAR:
```
Sb2RhI
1.0
0.000 3.618 3.618
3.618 0.000 3.618
3.618 3.618 0.000
I Rh Sb
1 1 2
Direct
0.500 0.500 0.500
0.000 0.000 0.000
0.750 0.750 0.750
0.250 0.250 0.250
```

Calculated density (Mg/m³): 8.299
Magnetization (μB per formula unit): 0.0
Volume (A^3/atom): 23.7
Space group: No. 225



Q: Which of them is the most stable? A: version one.



Version one
Material: ScSbRhI2
Method: DFT, PBE-GGA
State: optimized geometry

Geometry as POSCAR:
```
ScSbRhI2
1.0
-4.295 -1.637 -3.104
0.376 -5.093 2.165
-3.624 1.523 4.212
Sb Sc Rh I
1 1 1 2
Direct
0.000 0.000 0.500
0.000 0.000 0.000
0.500 0.500 0.500
0.500 0.000 0.000
0.000 0.500 0.000
```

Calculated density (Mg/m³): 4.905
Magnetization (μB per formula unit): 1.2
Volume (A^3/atom): 35.4
Space group: No. 123



Version two
Material: ScSbRhI2
Method: DFT, PBE-GGA
State: optimized geometry

Geometry as POSCAR:
```
ScSbRhI2
1.0
5.313 0.000 0.000
0.000 5.313 0.000
0.000 0.000 5.268
I Rh Sb Sc
2 1 1 1
Direct
0.000 0.500 0.000
0.500 0.000 0.000
0.000 0.000 0.000
0.000 0.000 0.500
0.500 0.500 0.500
```

Calculated density (Mg/m³): 5.844
Magnetization (μB per formula unit): 0.0
Volume (A^3/atom): 29.7
Space group: No. 123



Q: Which of them is the most stable? A: version two.



Version one
Material: SrSb2RhI
Method: DFT, PBE-GGA
State: optimized geometry

Geometry as POSCAR:
```
SrSb2RhI
1.0
6.106 0.000 0.000
0.000 6.106 0.000
0.000 0.000 6.074
Rh Sr I Sb
1 1 1 2
Direct
0.500 0.500 0.500
0.000 0.000 0.000
0.000 0.000 0.500
0.500 0.000 0.000
0.000 0.500 0.000
```

Calculated density (Mg/m³): 4.113
Magnetization (μB per formula unit): 1.5
Volume (A^3/atom): 45.3
Space group: No. 123



Version two
Material: SrSb2RhI
Method: DFT, PBE-GGA
State: optimized geometry

Geometry as POSCAR:
```
SrSb2RhI
1.0
-3.280 3.939 -0.649
-2.282 -1.161 4.487
3.715 3.556 2.809
Sr Sb I Rh
1 2 1 1
Direct
0.500 0.500 0.500
0.500 0.000 0.000
0.000 0.500 0.000
0.000 0.000 0.500
0.000 0.000 0.000
```

Calculated density (Mg/m³): 5.956
Magnetization (μB per formula unit): 0.2
Volume (A^3/atom): 31.3
Space group: No. 123



Q: Which of them is the most stable? A: version two.



Version one
Material: TaSbRhI2
Method: DFT, PBE-GGA
State: optimized geometry

Geometry as POSCAR:
```
TaSbRhI2
1.0
5.263 0.000 0.000
0.000 5.263 0.000
0.000 0.000 5.160
Sb I Ta Rh
1 2 1 1
Direct
0.000 0.000 0.500
0.500 0.000 0.000
0.000 0.500 0.000
0.500 0.500 0.500
0.000 0.000 0.000
```

Calculated density (Mg/m³): 7.662
Magnetization (μB per formula unit): 2.4
Volume (A^3/atom): 28.6
Space group: No. 123



Version two
Material: TaSbRhI2
Method: DFT, PBE-GGA
State: optimized geometry

Geometry as POSCAR:
```
TaSbRhI2
1.0
5.393 0.000 0.000
0.000 5.393 0.000
0.000 0.000 5.459
I Ta Rh Sb
2 1 1 1
Direct
0.000 0.500 0.000
0.500 0.000 0.000
0.000 0.000 0.000
0.500 0.500 0.500
0.000 0.000 0.500
```

Calculated density (Mg/m³): 6.897
Magnetization (μB per formula unit): 0.0
Volume (A^3/atom): 31.8
Space group: No. 123



Q: Which of them is the most stable? A: version two.



Version one
Material: SbTe2RhI
Method: DFT, PBE-GGA
State: optimized geometry

Geometry as POSCAR:
```
SbTe2RhI
1.0
-2.875 -2.073 -3.978
3.971 -3.374 -1.112
-2.028 -3.464 3.271
Sb Rh Te I
1 1 2 1
Direct
0.000 0.000 0.500
0.000 0.000 0.000
0.500 0.000 0.000
0.000 0.500 0.000
0.500 0.500 0.500
```

Calculated density (Mg/m³): 6.855
Magnetization (μB per formula unit): 0.0
Volume (A^3/atom): 29.4
Space group: No. 123



Version two
Material: SbTe2RhI
Method: DFT, PBE-GGA
State: optimized geometry

Geometry as POSCAR:
```
SbTe2RhI
1.0
-5.259 0.010 0.019
0.003 -4.314 3.008
0.022 3.022 4.335
I Rh Te Sb
1 1 2 1
Direct
0.000 0.000 0.500
0.000 0.000 0.000
0.000 0.500 0.000
0.500 0.000 0.000
0.500 0.500 0.500
```

Calculated density (Mg/m³): 6.895
Magnetization (μB per formula unit): 0.0
Volume (A^3/atom): 29.2
Space group: No. 123



Q: Which of them is the most stable? A: version one.